A geometry-optimized AcPm4Pr3Se8 structure. Source: Alexandria via LeMat-Bulk, functional GGA-PBE.

POSCAR file:
```
AcPm4Pr3Se8
1.0
8.502 0.000 0.000
0.000 8.533 0.015
-4.251 -4.247 6.016
Se Pm Ac Pr
8 4 1 3
Direct
0.256 0.760 0.004
0.744 0.240 0.996
0.744 0.240 0.488
0.752 0.756 0.504
0.256 0.760 0.512
0.749 0.760 0.004
0.251 0.240 0.996
0.248 0.244 0.496
0.500 0.000 0.000
0.000 0.000 0.500
0.500 0.000 0.500
0.000 0.000 0.000
0.000 0.500 0.000
0.500 0.500 0.500
0.000 0.500 0.500
0.500 0.500 0.000
```

- formation energy without anion corrections (meV per atom) = -1833
- space group = R-3m (166)
- size of the total moment (μB per formula unit) = 0.0
- crystal system = trigonal



A geometry-optimized TiOs3I structure. Source: Alexandria via LeMat-Bulk, functional GGA-PBE.

POSCAR file:
```
TiOs3I
1.0
4.765 0.000 0.000
0.000 4.765 0.000
0.000 0.000 4.765
Os Ti I
3 1 1
Direct
0.000 0.500 0.000
0.000 0.000 0.500
0.500 0.000 0.000
0.500 0.500 0.500
0.000 0.000 0.000
```

- formation energy without anion corrections (meV per atom) = 2540
- space group = Pm-3m (221)
- size of the total moment (μB per formula unit) = 0.0
- crystal system = cubic



A geometry-optimized NpP4Ru6 structure. Source: Alexandria via LeMat-Bulk, functional GGA-PBE.

POSCAR file:
```
NpP4Ru6
1.0
3.769 0.000 0.000
0.000 5.986 -3.456
0.000 0.000 6.913
Ru P Np
6 4 1
Direct
0.000 0.934 0.467
0.500 0.605 0.802
0.500 0.198 0.395
0.000 0.533 0.066
0.500 0.198 0.802
0.000 0.533 0.467
0.500 0.807 0.193
0.500 0.807 0.615
0.000 0.333 0.667
0.500 0.385 0.193
0.000 0.000 0.000
```

- space group = P-6m2 (187)
- ΔE_f (meV per atom) = -643
- size of the total moment (μB per formula unit) = 2.7
- crystal system = hexagonal